Record 1
Material: Sc2FeAg
Method: DFT, PBEsol
State: optimized geometry Values from VASP.

Computed properties:
As for the space group: Pmm2, No. 25. Its formation energy is 0.079 eV per atom. As for the electronic total energy: -6.292 eV per atom. The calculation puts the density of states at the Fermi level at 3.375 states/eV/f.u.

The structure in Quantum ESPRESSO input format:
```
&SYSTEM
  ibrav = 0, nat = 4, ntyp = 3
/
ATOMIC_SPECIES
Sc 44.96 Sc.upf
Fe 55.84 Fe.upf
Ag 107.87 Ag.upf
ATOMIC_POSITIONS crystal
Sc 0.000 0.000 0.000
Sc 0.500 0.500 0.331
Fe 0.500 0.500 0.841
Ag 0.000 0.000 0.551
CELL_PARAMETERS angstrom
3.478 0.000 0.000
0.000 3.490 0.000
0.000 0.000 5.958
```

***

Record 2
Material: Sc2FeAg
Method: DFT, PBEsol
State: optimized geometry Values from VASP.

Computed properties:
As for the space group: P4/mmm, No. 123. Its formation energy is -0.255 eV per atom. As for the electronic total energy: -6.626 eV per atom. The calculation puts the density of states at the Fermi level at 1.881 states/eV/f.u.

The structure in Quantum ESPRESSO input format:
```
&SYSTEM
  ibrav = 0, nat = 4, ntyp = 3
/
ATOMIC_SPECIES
Sc 44.96 Sc.upf
Fe 55.84 Fe.upf
Ag 107.87 Ag.upf
ATOMIC_POSITIONS crystal
Sc 0.000 0.000 0.211
Sc 0.000 0.000 0.789
Fe 0.500 0.500 0.000
Ag 0.500 0.500 0.500
CELL_PARAMETERS angstrom
3.088 0.000 0.000
0.000 3.088 0.000
0.000 0.000 7.055
```

***

Record 3
Material: ScFeAg2
Method: DFT, PBEsol
State: optimized geometry Values from VASP.

Computed properties:
As for the space group: I-4m2, No. 119. Its formation energy is 0.082 eV per atom. As for the electronic total energy: -5.466 eV per atom. The calculation puts the density of states at the Fermi level at 5.224 states/eV/f.u.

The structure in Quantum ESPRESSO input format:
```
&SYSTEM
  ibrav = 0, nat = 4, ntyp = 3
/
ATOMIC_SPECIES
Sc 44.96 Sc.upf
Fe 55.84 Fe.upf
Ag 107.87 Ag.upf
ATOMIC_POSITIONS crystal
Sc 0.000 0.000 0.000
Fe 0.750 0.250 0.500
Ag 0.250 0.750 0.500
Ag 0.500 0.500 0.000
CELL_PARAMETERS angstrom
-1.982 1.982 4.069
1.982 -1.982 4.069
1.982 1.982 -4.069
```

***

Record 4
Material: Sc2FeAg2
Method: DFT, PBEsol
State: optimized geometry Values from VASP.

Computed properties:
As for the space group: I4/mmm, No. 139. Its formation energy is 0.233 eV per atom. As for the electronic total energy: -5.526 eV per atom. The calculation puts the density of states at the Fermi level at 3.678 states/eV/f.u.

The structure in Quantum ESPRESSO input format:
```
&SYSTEM
  ibrav = 0, nat = 5, ntyp = 3
/
ATOMIC_SPECIES
Sc 44.96 Sc.upf
Fe 55.84 Fe.upf
Ag 107.87 Ag.upf
ATOMIC_POSITIONS crystal
Sc 0.093 0.093 0.000
Sc 0.907 0.907 0.000
Fe 0.500 0.500 0.000
Ag 0.250 0.750 0.500
Ag 0.750 0.250 0.500
CELL_PARAMETERS angstrom
-1.782 1.782 7.570
1.782 -1.782 7.570
1.782 1.782 -7.570
```